Entry A
{"formula": "Nd3SmAu2", "functional": "PBE-GGA", "state": "relaxed", "vol_a3_per_atom": 32.59, "lattice": [[-6.433, 1.805, 2.879], [-3.397, -5.158, -4.357], [5.819, -3.214, 5.824]], "species": ["Au", "Sm", "Nd", "Nd", "Nd", "Nd", "Au", "Sm", "Nd", "Nd", "Au", "Au"], "frac_coords": [[0.438, 0.641, 0.282], [0.000, 0.500, 0.000], [0.231, 0.981, 0.462], [0.500, 0.750, 0.000], [0.231, 0.481, 0.462], [0.500, 0.250, 0.000], [0.844, 0.141, 0.282], [0.000, 0.000, 0.000], [0.769, 0.519, 0.538], [0.769, 0.019, 0.538], [0.156, 0.859, 0.718], [0.562, 0.359, 0.718]]}

---

Entry B
{"formula": "Nd3SmAu2", "functional": "PBE-GGA", "state": "relaxed", "vol_a3_per_atom": 28.91, "lattice": [[-1.706, 0.902, -4.744], [-2.502, -6.821, -0.396], [-8.174, 2.797, 3.471]], "species": ["Au", "Nd", "Au", "Nd", "Nd", "Nd", "Nd", "Au", "Nd", "Au", "Sm", "Sm"], "frac_coords": [[0.000, 0.262, 0.652], [0.000, 0.348, 0.336], [0.500, 0.238, 0.156], [0.000, 0.993, 0.074], [0.000, 0.493, 0.926], [0.500, 0.152, 0.835], [0.000, 0.848, 0.664], [0.500, 0.738, 0.844], [0.500, 0.652, 0.165], [0.000, 0.762, 0.348], [0.500, 0.507, 0.574], [0.500, 0.007, 0.426]]}

---

Verdict on stability: entry B comes out on top.